Material: AlAs3Cl
Method: DFT, PBE
State: relaxed

Summary:
For the volume, the calculation gives 23.350 Å³ per atom. Its total moment is 0.0 μB per cell. The value obtained for the density is 4.08 g cm⁻³. For the uncorrected formation energy, the calculation gives 1.063 eV per atom. Its energy above the lowest structure with this stoichiometry is 50.61 kJ/mol of atoms.

Cell: 4.8875 4.8875 4.8875 Å, 90.00 90.00 90.00°
Fractional coordinates of all 5 atoms:
Cl (0.0000, 0.0000, 0.0000)
As (0.0000, 0.5000, 0.0000)
As (0.5000, 0.0000, 0.0000)
As (0.0000, 0.0000, 0.5000)
Al (0.5000, 0.5000, 0.5000)

=====

Material: CaHgSe
Method: DFT, PBE
State: relaxed

Summary:
For the volume, the calculation gives 33.677 Å³ per atom. Its total moment is 0.0 μB per cell. The value obtained for the density is 5.25 g cm⁻³. For the uncorrected formation energy, the calculation gives -1.102 eV per atom. Its energy above the lowest structure with this stoichiometry is 0.00 kJ/mol of atoms.

Cell: 4.9577 4.9577 9.9150 Å, 75.52 75.52 60.00°
Fractional coordinates of all 6 atoms:
Ca (0.3844, 0.3844, 0.8468)
Ca (0.6156, 0.6156, 0.1532)
Se (0.2818, 0.2818, 0.1545)
Se (0.7182, 0.7182, 0.8455)
Hg (0.1699, 0.1699, 0.4904)
Hg (0.8301, 0.8301, 0.5096)

=====

Material: Tb6CeY2
Method: DFT, PBE
State: relaxed

Summary:
For the volume, the calculation gives 32.312 Å³ per atom. Its total moment is 1.9 μB per cell. The value obtained for the density is 7.26 g cm⁻³. As for the formation enthalpy at 0 K: 0.136 eV per atom. Its energy above the lowest structure with this stoichiometry is 6.96 kJ/mol of atoms.

Cell: 6.6173 9.4933 9.4933 Å, 94.43 81.89 81.89°
Last column: magnetic moment on the atom in μB.
Fractional coordinates of all 18 atoms:
Tb (0.9971, 0.2815, 0.6592)  0.01
Tb (0.7354, 0.0537, 0.4588)  -0.01
Tb (0.1791, 0.0492, 0.2156)  0.05
Tb (0.5029, 0.3408, 0.7185)  0.01
Tb (0.0029, 0.7185, 0.3408)  0.01
Tb (0.7646, 0.5412, 0.9463)  -0.01
Tb (0.4971, 0.6592, 0.2815)  0.01
Tb (0.3209, 0.7844, 0.9508)  0.05
Tb (0.6791, 0.2156, 0.0492)  0.05
Tb (0.8209, 0.9508, 0.7844)  0.05
Tb (0.2646, 0.9463, 0.5412)  -0.01
Tb (0.2354, 0.4588, 0.0537)  -0.01
Y (0.6336, 0.6669, 0.6140)  -0.01
Y (0.1336, 0.6140, 0.6669)  -0.01
Y (0.3664, 0.3331, 0.3860)  -0.01
Y (0.8664, 0.3860, 0.3331)  -0.01
Ce (0.2500, 0.1219, 0.8781)  0.72
Ce (0.7500, 0.8781, 0.1219)  0.72

=====

Q: What is the volume in the first record?
A: 23.350 Å³ per atom

=====

Q: Which of these has the lowest energy above the lowest structure with this stoichiometry?
A: CaHgSe